1.
First-principles (PBE) data for an optimized crystal structure of Cs2Mg2SeS2, as listed in Alexandria.

a = 14.399 Å, b = 4.249 Å, c = 8.960 Å
α = 90.00°, β = 124.89°, γ = 90.00°
Space group C2/m (No. 12)
Asymmetric unit:
Cs1 0.066 0.000 0.356 x4
Mg1 0.196 0.500 0.067 x4
Se1 0.000 0.500 0.000 x2
S1 0.194 0.500 0.783 x4

***

2.
First-principles (PBE) data for an optimized crystal structure of CsTbMgS3, as listed in Alexandria.

a = 9.346 Å, b = 4.161 Å, c = 10.135 Å
α = 90.00°, β = 110.60°, γ = 90.00°
Space group P2_1/m (No. 11)
Asymmetric unit:
Cs1 0.217 0.250 0.236 x2
Tb1 0.334 0.750 0.867 x2
Mg1 0.084 0.250 0.612 x2
S1 0.131 0.250 0.860 x2
S2 0.188 0.750 0.551 x2
S3 0.477 0.750 0.148 x2

***

3.
First-principles (PBE) data for an optimized crystal structure of Cs3Tb2MgS6, as listed in Alexandria.

a = 7.062 Å, b = 12.238 Å, c = 8.364 Å
α = 90.00°, β = 106.37°, γ = 90.00°
Space group C2/m (No. 12)
Asymmetric unit:
Cs1 0.000 0.000 0.000 x2
Cs2 0.000 0.333 0.000 x4
Tb1 0.000 0.167 0.500 x4
Mg1 0.000 0.500 0.500 x2
S1 0.224 0.336 0.680 x8
S2 0.232 0.000 0.680 x4

***

4.
First-principles (PBE) data for an optimized crystal structure of Cs4Th3MgS8, as listed in Alexandria.

a = 8.3029 Å, b = 8.3029 Å, c = 24.3007 Å
α = 90.00°, β = 90.00°, γ = 120.00°
Space group R-3m (No. 166, hexagonal axes)
Asymmetric unit:
Cs1 0.0000 0.0000 0.0000 x3
Cs2 0.0000 0.5000 0.0000 x9
Th1 0.0000 0.5000 0.5000 x9
Mg1 0.0000 0.0000 0.5000 x3
S1 0.0000 0.0000 0.2305 x6
S2 0.0066 0.5033 0.2272 x18

***

5.
First-principles (PBE) data for an optimized crystal structure of CsThMgS4, as listed in Alexandria.

a = 7.203 Å, b = 5.724 Å, c = 10.141 Å
α = 90.00°, β = 106.82°, γ = 90.00°
Space group P2_1/m (No. 11)
Asymmetric unit:
Cs1 0.245 0.250 0.464 x2
Th1 0.239 0.250 0.939 x2
Mg1 0.250 0.750 0.175 x2
S1 0.033 0.750 0.312 x2
S2 0.071 0.750 0.932 x2
S3 0.486 0.520 0.815 x4

***

6.
First-principles (PBE) data for an optimized crystal structure of Cs2MgTiS4, as listed in Alexandria.

a = 6.005 Å, b = 14.362 Å, c = 25.320 Å
α = 90.00°, β = 90.00°, γ = 90.00°
Space group Fddd (No. 70, origin choice 2)
Asymmetric unit:
Cs1 0.125 0.125 0.301 x16
Mg1 0.125 0.125 0.125 x8
Ti1 0.125 0.125 0.625 x8
S1 0.104 0.284 0.825 x32

***

So what do the calculations give for formation energy from raw total energies? Going down the list: -124.1, -162.6, -144.2, -153.0, -138.7, -134.4 kJ per mole of atoms.
So what do the calculations give for M_tot? Going down the list: 0.00, 0.00, 0.00, 0.00, 0.17, 0.00 Bohr magnetons per cell.